8
Lattice="4.964 0.000 0.000 0.000 4.964 0.000 0.000 0.000 9.908" Properties=species:S:1:pos:R:3 comment="Y4HoTm2Sc GGA-PBE optimized geometry" space_group=P4/mmm ef_ev_per_atom=0.04 n_ef_per_ev_atom=1.601 pbc="T T T"
Y 0.000 2.482 2.432
Y 0.000 2.482 7.476
Y 2.482 0.000 2.432
Y 2.482 0.000 7.476
Ho 0.000 0.000 4.954
Tm 0.000 0.000 0.000
Tm 2.482 2.482 4.954
Sc 2.482 2.482 0.000

---

5
Lattice="4.806 0.000 0.000 0.000 4.806 0.000 0.000 0.000 4.931" Properties=species:S:1:pos:R:3 comment="MoAsPtSe2 GGA-PBE optimized geometry" space_group=P4/mmm n_ef_per_ev_atom=1.101 final_energy_ev_per_cell=-24.86 pbc="T T T"
Mo 0.000 0.000 0.000
As 0.000 0.000 2.465
Pt 2.403 2.403 2.465
Se 0.000 2.403 0.000
Se 2.403 0.000 0.000

---

5
Lattice="5.041 0.000 0.000 0.000 5.041 0.000 0.000 0.000 3.634" Properties=species:S:1:pos:R:3 comment="Ge2SeSO GGA-PBE optimized geometry" space_group=P4/mmm n_ef_per_ev_atom=0.216 final_energy_ev_per_cell=-21.35 pbc="T T T"
Ge 0.000 2.520 0.000
Ge 2.520 0.000 0.000
Se 0.000 0.000 1.817
S 2.520 2.520 0.000
O 2.520 2.520 1.817

---

12
Lattice="4.526 -4.936 0.000 4.526 4.936 0.000 -1.890 0.000 8.876" Properties=species:S:1:pos:R:3 comment="Tb3Pm2Th GGA-PBE optimized geometry" space_group=C2/c ef_ev_per_atom=0.11 n_ef_per_ev_atom=1.656 pbc="T T T"
Tb 3.109 4.152 6.657
Tb 2.309 0.822 0.031
Tb 1.365 -0.822 4.469
Tb 5.798 0.822 4.407
Tb 4.853 -0.822 8.845
Tb 4.054 -4.152 2.219
Pm 2.686 2.468 3.338
Pm 5.421 2.468 1.100
Pm 1.742 -2.468 7.776
Pm 4.476 -2.468 5.538
Th 3.109 0.873 6.657
Th 4.054 -0.873 2.219

---

8
Lattice="-3.539 3.539 2.592 3.539 -3.539 2.592 3.539 3.539 -2.592" Properties=species:S:1:pos:R:3 comment="VGaRe2 GGA-PBE optimized geometry" space_group=I-42d ef_ev_per_atom=0.70 n_ef_per_ev_atom=0.624 pbc="T T T"
V 0.000 0.000 0.000
V 0.000 3.539 1.296
Ga 3.539 0.000 1.296
Ga 0.000 0.000 2.592
Re 1.769 1.480 -0.648
Re 2.059 -1.769 3.240
Re 1.769 2.059 1.944
Re 1.480 5.308 0.648

---

4
Lattice="4.552 0.000 0.000 0.000 4.552 0.000 0.000 0.000 4.516" Properties=species:S:1:pos:R:3 comment="HoSc2Nb GGA-PBE optimized geometry" space_group=P4/mmm ef_ev_per_atom=0.17 n_ef_per_ev_atom=1.086 pbc="T T T"
Ho 0.000 0.000 0.000
Sc 0.000 2.276 2.258
Sc 2.276 0.000 2.258
Nb 2.276 2.276 0.000